No. 1
VASP calculation (PBE) on DyMgScCu after structural relaxation.

Cell: 4.983 4.983 4.983 Å, 60.00 60.00 60.00°
Atoms (fractional coordinates):
1 Dy 0.000 0.000 0.000
2 Mg 0.750 0.750 0.750
3 Sc 0.500 0.500 0.500
4 Cu 0.250 0.250 0.250

## Properties
- Calculated density: 5.605 g cm⁻³
- E: -4.21 eV per atom
- Crystal system: cubic
- V: 87 Å³/f.u.
- Formation enthalpy at 0 K: -0.2 eV per formula unit
- Size of the total moment: 0.00 μB per formula unit

***

No. 2
VASP calculation (PBE) on DyMgScCu after structural relaxation.

Cell: 3.370 3.370 7.860 Å, 90.00 90.00 90.00°
Atoms (fractional coordinates):
1 Dy 0.000 0.000 0.000
2 Mg 0.500 0.500 0.306
3 Sc 0.000 0.000 0.582
4 Cu 0.500 0.500 0.764

## Properties
- Calculated density: 5.492 g cm⁻³
- E: -4.30 eV per atom
- Crystal system: tetragonal
- V: 89 Å³/f.u.
- Formation enthalpy at 0 K: -0.6 eV per formula unit
- Size of the total moment: 0.00 μB per formula unit

***

No. 3
VASP calculation (PBE) on DyMgCuSi after structural relaxation.

Cell: 4.733 4.733 4.733 Å, 60.00 60.00 60.00°
Atoms (fractional coordinates):
1 Dy 0.000 0.000 0.000
2 Mg 0.500 0.500 0.500
3 Cu 0.250 0.250 0.250
4 Si 0.750 0.750 0.750

## Properties
- Calculated density: 6.165 g cm⁻³
- E: -4.23 eV per atom
- Crystal system: cubic
- V: 75 Å³/f.u.
- Formation energy (no corrections): -0.303 eV per atom
- Size of the total moment: 0.00 μB per formula unit

***

No. 4
VASP calculation (PBE) on DyMgCu2Si2 after structural relaxation.

Cell: 4.126 4.126 6.766 Å, 90.00 90.00 120.00°
Atoms (fractional coordinates):
1 Dy 0.000 0.000 0.000
2 Mg 0.000 0.000 0.500
3 Cu 0.333 0.667 0.300
4 Cu 0.667 0.333 0.700
5 Si 0.333 0.667 0.736
6 Si 0.667 0.333 0.264

## Properties
- Calculated density: 6.161 g cm⁻³
- E: -4.66 eV per atom
- Crystal system: trigonal
- V: 100 Å³/f.u.
- Formation energy (no corrections): -0.457 eV per atom
- Size of the total moment: 0.00 μB per formula unit